{"formula": "TmScAl2Pd4", "functional": "PBE", "state": "relaxed", "mass_density_kg_m3": 8070, "final_energy_ev_per_atom": -5.811, "lattice_angstrom": [[-0.2567, -1.7189, 3.9453], [3.1201, -1.2529, -2.6983], [5.2777, 6.3989, 3.1314]], "species": ["Al", "Al", "Pd", "Pd", "Pd", "Pd", "Sc", "Tm"], "fractional_positions": [[0.0000, 0.0000, 0.2583], [0.0000, 0.0000, 0.7417], [0.6667, 0.3333, 0.1710], [0.3333, 0.6667, 0.3391], [0.3333, 0.6667, 0.6609], [0.6667, 0.3333, 0.8290], [0.6667, 0.3333, 0.5000], [0.3333, 0.6667, 0.0000]]}